Entry 1:
An optimized crystal structure of NpInAgI6. Source: the Alexandria database, functional PBE.

calculated total energy	-3.664	eV per atom
space-group type	No. 163
raw formation energy	-571	meV/atom

POSCAR file:
```
NpInAgI6
1.0
7.7346 0.0000 0.0000
-3.8673 6.6983 0.0000
0.0000 0.0000 15.1301
Np In Ag I
2 2 2 12
Cartesian
0.0000 4.4655 3.7825
3.8673 2.2328 11.3476
0.0000 0.0000 0.0000
0.0000 0.0000 7.5650
0.0000 4.4655 11.3476
3.8673 2.2328 3.7825
-1.3470 2.3998 2.0289
-2.4625 4.3318 5.5361
1.3470 2.3998 5.5361
-1.1154 6.6650 2.0289
2.7518 0.0333 9.5939
1.4048 2.3665 13.1012
2.4625 4.3318 2.0289
1.1154 6.6650 5.5361
4.9827 0.0333 13.1012
2.5202 4.2985 9.5939
6.3298 2.3665 9.5939
5.2143 4.2985 13.1012
```


Entry 2:
An optimized crystal structure of SiHg2Sb. Source: the Alexandria database, functional PBE.

calculated total energy	-2.069	eV per atom
ΔE to the lowest computed polymorph	301.7	meV/atom
space-group type	No. 122
raw formation energy	469	meV/atom

POSCAR file:
```
SiHg2Sb
1.0
-3.2654 3.2654 5.6212
3.2654 -3.2654 5.6212
3.2654 3.2654 -5.6212
Si Hg Sb
2 4 2
Cartesian
0.0000 0.0000 0.0000
0.0000 3.2654 2.8106
4.8981 1.3802 -1.4053
1.3802 1.6327 1.4053
-1.6327 1.8852 4.2159
1.8852 1.6327 7.0265
3.2654 0.0000 2.8106
0.0000 0.0000 5.6212
```